# Mn3NiAg | Alexandria via LeMat-Bulk | GGA-PBE | optimized geometry
data_Mn3NiAg
_chemical_formula_sum 'Mn3 Ni1 Ag1'
_cell_length_a 4.830
_cell_length_b 4.830
_cell_length_c 4.830
_cell_angle_alpha 90.00
_cell_angle_beta 90.00
_cell_angle_gamma 90.00
_space_group_name_H-M_alt 'P m -3 m'
_space_group_IT_number 221
_space_group_name_Hall '-P 4 2 3'
loop_
_atom_site_label
_atom_site_type_symbol
_atom_site_fract_x
_atom_site_fract_y
_atom_site_fract_z
Mn1 Mn 0.000 0.000 0.500
Ni1 Ni 0.500 0.500 0.500
Ag1 Ag 0.000 0.000 0.000
# Crystal system: cubic
# Total energy in Ha/atom: -0.210
# Energy relative to the lowest polymorph listed for this composition in eV per formula unit: 3.75
# Total magnetization in μB per cell: 13.36
# Calculated formation energy in meV per atom: 1503

=====

# CePm12Tm6 | Alexandria via LeMat-Bulk | GGA-PBE | optimized geometry
data_CePm12Tm6
_chemical_formula_sum 'Ce3 Pm36 Tm18'
_cell_length_a 15.6770
_cell_length_b 15.6770
_cell_length_c 8.7958
_cell_angle_alpha 90.00
_cell_angle_beta 90.00
_cell_angle_gamma 120.00
_space_group_name_H-M_alt 'R -3'
_space_group_IT_number 148
_space_group_name_Hall '-R 3'
loop_
_atom_site_label
_atom_site_type_symbol
_atom_site_fract_x
_atom_site_fract_y
_atom_site_fract_z
Ce1 Ce 0.0000 0.0000 0.0000
Pm1 Pm 0.0358 0.2789 0.3367
Pm2 Pm 0.0722 0.5623 0.6668
Tm1 Tm 0.0170 0.1373 0.6666
# Crystal system: trigonal
# Total energy in Ha/atom: -0.173
# Total magnetization in μB per cell: 3.80
# Calculated formation energy in meV per atom: 31

=====

- Number 1 is which compound?
  Mn3NiAg

=====

- Among the records above, which one has the lowest total magnetization?
  CePm12Tm6

=====

- What is the total energy in the first record?
  -0.210 Ha/atom